[1]
## PmPuMnTc (PBE)

Data for crystalline PmPuMnTc at its relaxed geometry.

## Properties
ΔE_f: 0.81 eV per formula unit
Space group: F-43m

Cell: 4.885 4.885 4.885 Å, 60.00 60.00 60.00°
Fractional coordinates of all 4 atoms:
1 Pm 0.000 0.000 0.000
2 Pu 0.500 0.500 0.500
3 Mn 0.750 0.750 0.750
4 Tc 0.250 0.250 0.250

[2]
## RbPmMnS3 (PBE)

Data for crystalline RbPmMnS3 at its relaxed geometry.

## Properties
Formation energy (no corrections): -1.39 eV/atom
Space group: P2_1/m

Cell: 9.141 4.173 9.719 Å, 90.00 107.22 90.00°
Fractional coordinates of all 12 atoms:
1 Rb 0.202 0.250 0.229
2 Rb 0.798 0.750 0.771
3 Pm 0.335 0.750 0.856
4 Pm 0.665 0.250 0.144
5 Mn 0.087 0.250 0.609
6 Mn 0.913 0.750 0.391
7 S 0.121 0.250 0.856
8 S 0.187 0.750 0.537
9 S 0.462 0.750 0.153
10 S 0.538 0.250 0.847
11 S 0.813 0.250 0.463
12 S 0.879 0.750 0.144

[3]
## RbPm2MnS4 (PBE)

Data for crystalline RbPm2MnS4 at its relaxed geometry.

## Properties
Formation energy (no corrections): -1.60 eV/atom
Space group: Cmcm

Cell: 7.375 7.375 14.133 Å, 90.00 90.00 148.00°
Fractional coordinates of all 16 atoms:
1 Rb 0.102 0.898 0.750
2 Rb 0.898 0.102 0.250
3 Pm 0.368 0.632 0.557
4 Pm 0.368 0.632 0.943
5 Pm 0.632 0.368 0.057
6 Pm 0.632 0.368 0.443
7 Mn 0.171 0.829 0.250
8 Mn 0.829 0.171 0.750
9 S 0.000 0.000 0.000
10 S 0.000 0.000 0.500
11 S 0.262 0.738 0.112
12 S 0.262 0.738 0.388
13 S 0.421 0.579 0.750
14 S 0.579 0.421 0.250
15 S 0.738 0.262 0.612
16 S 0.738 0.262 0.888

[4]
## Rb3Pm2MnSe6 (PBE)

Data for crystalline Rb3Pm2MnSe6 at its relaxed geometry.

## Properties
Formation energy (no corrections): -1.34 eV/atom
Space group: C2/m

Cell: 7.267 7.267 8.402 Å, 99.15 99.15 118.22°
Fractional coordinates of all 12 atoms:
1 Rb 0.000 0.000 0.000
2 Rb 0.327 0.673 0.000
3 Rb 0.673 0.327 0.000
4 Pm 0.163 0.837 0.500
5 Pm 0.837 0.163 0.500
6 Mn 0.500 0.500 0.500
7 Se 0.142 0.440 0.318
8 Se 0.237 0.237 0.711
9 Se 0.440 0.142 0.318
10 Se 0.560 0.858 0.682
11 Se 0.763 0.763 0.289
12 Se 0.858 0.560 0.682

[5]
## Rb3Pm3MnSe8 (PBE)

Data for crystalline Rb3Pm3MnSe8 at its relaxed geometry.

## Properties
Formation energy (no corrections): -1.40 eV/atom
Space group: R-3m

Cell: 9.502 9.502 9.502 Å, 52.44 52.44 52.44°
Fractional coordinates of all 15 atoms:
1 Rb 0.000 0.500 0.500
2 Rb 0.500 0.000 0.500
3 Rb 0.500 0.500 0.000
4 Pm 0.000 0.000 0.500
5 Pm 0.000 0.500 0.000
6 Pm 0.500 0.000 0.000
7 Mn 0.500 0.500 0.500
8 Se 0.234 0.234 0.234
9 Se 0.265 0.708 0.708
10 Se 0.292 0.292 0.735
11 Se 0.292 0.735 0.292
12 Se 0.708 0.265 0.708
13 Se 0.708 0.708 0.265
14 Se 0.735 0.292 0.292
15 Se 0.766 0.766 0.766

[6]
## Rb3Pm2MnTe6 (PBE)

Data for crystalline Rb3Pm2MnTe6 at its relaxed geometry.

## Properties
Formation energy (no corrections): -1.05 eV/atom
Space group: C2/m

Cell: 7.767 7.767 8.960 Å, 99.04 99.04 118.55°
Fractional coordinates of all 12 atoms:
1 Rb 0.000 0.000 0.000
2 Rb 0.325 0.675 0.000
3 Rb 0.675 0.325 0.000
4 Pm 0.162 0.838 0.500
5 Pm 0.838 0.162 0.500
6 Mn 0.500 0.500 0.500
7 Te 0.140 0.440 0.314
8 Te 0.243 0.243 0.712
9 Te 0.440 0.140 0.314
10 Te 0.560 0.860 0.686
11 Te 0.757 0.757 0.288
12 Te 0.860 0.560 0.686